Record 1
An optimized crystal structure of SmTm2Mg3CdIn2. Source: OQMD, functional GGA-PBE.

abc: 4.6419 7.5514 7.5514
angles: 121.07 90.00 90.00
Closest atoms and distances in Å follow each position.
Atoms (fractional coordinates):
Sm 0.0000 0.0000 0.0000  1 Cd 3.25, 4 In 3.27, 6 Mg 3.38-3.62
Tm 0.0000 0.4251 0.8526  1 Cd 3.18, 4 In 3.20, 2 Mg 3.43
Tm 0.0000 0.8526 0.4251  1 Cd 3.18, 4 In 3.20, 2 Mg 3.43
Mg 0.5000 0.1891 0.4275  2 In 2.90-2.93, 2 Cd 2.96, 2 Mg 3.11-3.14
Mg 0.5000 0.4275 0.1891  2 In 2.90-2.93, 2 Cd 2.96, 2 Mg 3.11-3.14
Mg 0.5000 0.6695 0.6695  2 Cd 2.89, 2 In 2.93, 2 Mg 3.11
Cd 0.0000 0.4380 0.4380  6 Mg 2.89-2.96, 2 Tm 3.18
In 0.5000 0.0952 0.7549  3 Mg 2.90-2.93, 4 Tm 3.20
In 0.5000 0.7549 0.0952  3 Mg 2.90-2.93, 4 Tm 3.20

Output
- VASP energy: -3.09 eV per atom
- SG: Amm2 (38)

---

Record 2
An optimized crystal structure of CdInMo2. Source: OQMD, functional GGA-PBE.

abc: 4.6707 4.6707 4.6707
angles: 60.00 60.00 60.00
Closest atoms and distances in Å follow each position.
Atoms (fractional coordinates):
Cd 0.0000 0.0000 0.0000  4 In 2.86, 4 Mo 2.86
In 0.7500 0.7500 0.7500  4 Cd 2.86, 4 Mo 2.86
Mo 0.2500 0.2500 0.2500  4 Cd 2.86, 4 Mo 2.86
Mo 0.5000 0.5000 0.5000  4 In 2.86, 4 Mo 2.86

Output
- VASP energy: -5.83 eV per atom
- SG: F-43m (216)

---

Record 3
An optimized crystal structure of CdInMo4N2. Source: OQMD, functional GGA-PBE.

abc: 2.9584 2.9584 14.9780
angles: 90.00 90.00 120.00
Closest atoms and distances in Å follow each position.
Atoms (fractional coordinates):
Cd 0.0000 0.0000 0.0000  6 Cd 2.96, 6 Mo 3.00
In 0.6667 0.3333 0.5000  6 In 2.96, 6 Mo 2.96
Mo 0.0000 0.0000 0.3385  3 N 2.15
Mo 0.0000 0.0000 0.6615  3 N 2.15
Mo 0.6667 0.3333 0.1646  3 N 2.14
Mo 0.6667 0.3333 0.8354  3 N 2.14
N 0.3333 0.6667 0.2510  6 Mo 2.14-2.15
N 0.3333 0.6667 0.7490  6 Mo 2.14-2.15

Output
- VASP energy: -7.91 eV per atom
- SG: P-6m2 (187)

---

Record 4
An optimized crystal structure of CdInNO. Source: OQMD, functional GGA-PBE.

abc: 3.9567 3.9567 7.4999
angles: 90.00 90.00 90.00
Closest atoms and distances in Å follow each position.
Atoms (fractional coordinates):
Cd 0.2500 0.7500 0.0000  4 N 2.37
Cd 0.7500 0.2500 0.0000  4 N 2.37
In 0.2500 0.2500 0.3759  4 O 2.19
In 0.7500 0.7500 0.6241  4 O 2.19
N 0.2500 0.2500 0.8262  4 Cd 2.37
N 0.7500 0.7500 0.1738  4 Cd 2.37
O 0.2500 0.7500 0.5000  4 In 2.19
O 0.7500 0.2500 0.5000  4 In 2.19

Output
- VASP energy: -4.10 eV per atom
- SG: P4/nmm (129)

---

Record 5
An optimized crystal structure of CdInNO. Source: OQMD, functional GGA-PBE.

abc: 3.6043 6.1984 5.8211
angles: 90.00 90.00 90.00
Closest atoms and distances in Å follow each position.
Atoms (fractional coordinates):
Cd 0.0000 0.1747 0.0000  2 N 2.20, 2 O 2.27-2.31
Cd 0.0000 0.8253 0.5000  2 N 2.20, 2 O 2.27-2.31
In 0.5000 0.3438 0.5100  2 N 2.11-2.12, 2 O 2.18
In 0.5000 0.6562 0.0100  2 N 2.11-2.12, 2 O 2.18
N 0.5000 0.3389 0.8729  2 In 2.11-2.12, 2 Cd 2.20
N 0.5000 0.6611 0.3729  2 In 2.11-2.12, 2 Cd 2.20
O 0.0000 0.1785 0.3963  2 In 2.18, 2 Cd 2.27-2.31
O 0.0000 0.8215 0.8963  2 In 2.18, 2 Cd 2.27-2.31

Output
- VASP energy: -4.65 eV per atom
- SG: Pmc2_1 (26)

---

Record 6
An optimized crystal structure of CdInNO. Source: OQMD, functional GGA-PBE.

abc: 4.6880 4.6880 4.7264
angles: 90.00 90.00 90.00
Closest atoms and distances in Å follow each position.
Atoms (fractional coordinates):
Cd 0.2500 0.2500 0.0018  4 O 2.34, 2 N 2.36-2.37
Cd 0.7500 0.7500 0.9982  4 O 2.34, 2 N 2.36-2.37
In 0.2500 0.7500 0.5000  4 N 2.34, 2 O 2.36
In 0.7500 0.2500 0.5000  4 N 2.34, 2 O 2.36
N 0.2500 0.2500 0.5012  4 In 2.34, 2 Cd 2.36-2.37
N 0.7500 0.7500 0.4988  4 In 2.34, 2 Cd 2.36-2.37
O 0.2500 0.7500 0.0000  4 Cd 2.34, 2 In 2.36
O 0.7500 0.2500 0.0000  4 Cd 2.34, 2 In 2.36

Output
- VASP energy: -4.57 eV per atom
- SG: P4/nmm (129)

---

Record 7
An optimized crystal structure of CdInNO. Source: OQMD, functional GGA-PBE.

abc: 6.1415 7.4305 5.7289
angles: 90.00 90.00 90.00
Closest atoms and distances in Å follow each position.
Atoms (fractional coordinates):
Cd 0.0951 0.1110 0.0000  3 N 2.20-2.21
Cd 0.4049 0.1110 0.5000  3 N 2.20-2.21
Cd 0.5951 0.8890 0.0000  3 N 2.20-2.21
Cd 0.9049 0.8890 0.5000  3 N 2.20-2.21
In 0.0774 0.6351 0.9883  1 N 2.04, 3 O 2.15-2.16
In 0.4226 0.6351 0.4883  1 N 2.04, 3 O 2.15-2.16
In 0.5774 0.3649 0.9883  1 N 2.04, 3 O 2.15-2.16
In 0.9226 0.3649 0.4883  1 N 2.04, 3 O 2.15-2.16
N 0.0657 0.1381 0.6196  1 In 2.04, 3 Cd 2.20-2.21
N 0.4343 0.1381 0.1196  1 In 2.04, 3 Cd 2.20-2.21
N 0.5657 0.8619 0.6196  1 In 2.04, 3 Cd 2.20-2.21
N 0.9343 0.8619 0.1196  1 In 2.04, 3 Cd 2.20-2.21
O 0.0955 0.5979 0.6165  3 In 2.15-2.16
O 0.4045 0.5979 0.1165  3 In 2.15-2.16
O 0.5955 0.4021 0.6165  3 In 2.15-2.16
O 0.9045 0.4021 0.1165  3 In 2.15-2.16

Output
- VASP energy: -4.57 eV per atom
- SG: Pca2_1 (29)

---

Record 8
An optimized crystal structure of CdInNO. Source: OQMD, functional GGA-PBE.

abc: 3.5904 6.1986 5.7691
angles: 90.00 90.00 90.00
Closest atoms and distances in Å follow each position.
Atoms (fractional coordinates):
Cd 0.0000 0.1563 0.0000  2 N 2.21-2.22, 2 O 2.29
Cd 0.0000 0.8437 0.5000  2 N 2.21-2.22, 2 O 2.29
In 0.5000 0.3283 0.4931  2 N 2.10, 2 O 2.14-2.15
In 0.5000 0.6717 0.9931  2 N 2.10, 2 O 2.14-2.15
N 0.0000 0.1841 0.3841  2 In 2.10, 2 Cd 2.21-2.22
N 0.0000 0.8159 0.8841  2 In 2.10, 2 Cd 2.21-2.22
O 0.5000 0.3471 0.8649  2 In 2.14-2.15, 2 Cd 2.29
O 0.5000 0.6529 0.3649  2 In 2.14-2.15, 2 Cd 2.29

Output
- VASP energy: -4.67 eV per atom
- SG: Pmc2_1 (26)

---

Record 9
An optimized crystal structure of CdInNO. Source: OQMD, functional GGA-PBE.

abc: 6.1970 7.2391 5.7188
angles: 90.00 90.00 90.00
Closest atoms and distances in Å follow each position.
Atoms (fractional coordinates):
Cd 0.0821 0.1336 0.0000  1 N 2.20, 3 O 2.22-2.28
Cd 0.4179 0.1336 0.5000  1 N 2.20, 3 O 2.22-2.28
Cd 0.5821 0.8664 0.0000  1 N 2.20, 3 O 2.22-2.28
Cd 0.9179 0.8664 0.5000  1 N 2.20, 3 O 2.22-2.28
In 0.0886 0.6175 0.9976  3 N 2.13-2.14, 1 O 2.14
In 0.4114 0.6175 0.4976  3 N 2.13-2.14, 1 O 2.14
In 0.5886 0.3825 0.9976  3 N 2.13-2.14, 1 O 2.14
In 0.9114 0.3825 0.4976  3 N 2.13-2.14, 1 O 2.14
N 0.0872 0.6173 0.6237  3 In 2.13-2.14, 1 Cd 2.20
N 0.4128 0.6173 0.1237  3 In 2.13-2.14, 1 Cd 2.20
N 0.5872 0.3827 0.6237  3 In 2.13-2.14, 1 Cd 2.20
N 0.9128 0.3827 0.1237  3 In 2.13-2.14, 1 Cd 2.20
O 0.0681 0.1331 0.6020  1 In 2.14, 3 Cd 2.22-2.28
O 0.4319 0.1331 0.1020  1 In 2.14, 3 Cd 2.22-2.28
O 0.5681 0.8669 0.6020  1 In 2.14, 3 Cd 2.22-2.28
O 0.9319 0.8669 0.1020  1 In 2.14, 3 Cd 2.22-2.28

Output
- VASP energy: -4.70 eV per atom
- SG: Pca2_1 (29)

---

Record 10
An optimized crystal structure of Tm4CdInN2. Source: OQMD, functional GGA-PBE.

abc: 3.4456 3.4456 15.5832
angles: 90.00 90.00 120.00
Closest atoms and distances in Å follow each position.
Atoms (fractional coordinates):
Tm 0.0000 0.0000 0.1654  3 N 2.40
Tm 0.0000 0.0000 0.8346  3 N 2.40
Tm 0.6667 0.3333 0.3341  3 N 2.37
Tm 0.6667 0.3333 0.6659  3 N 2.37
Cd 0.6667 0.3333 0.0000  6 Tm 3.26, 6 Cd 3.45
In 0.0000 0.0000 0.5000  6 Tm 3.26, 6 In 3.45
N 0.3333 0.6667 0.2516  6 Tm 2.37-2.40
N 0.3333 0.6667 0.7484  6 Tm 2.37-2.40

Output
- VASP energy: -5.79 eV per atom
- SG: P-6m2 (187)

---

Record 11
An optimized crystal structure of Na4Cd3In. Source: OQMD, functional GGA-PBE.

abc: 5.1673 5.1673 7.3085
angles: 90.00 90.00 90.00
Closest atoms and distances in Å follow each position.
Atoms (fractional coordinates):
Na 0.0000 0.0000 0.0000  4 Cd 3.16, 4 Na 3.17
Na 0.0000 0.5000 0.7497  4 Na 3.16-3.17, 2 Cd 3.16, 2 In 3.17
Na 0.5000 0.0000 0.2503  2 Cd 3.16, 4 Na 3.16-3.17, 2 In 3.17
Na 0.5000 0.5000 0.5000  4 Na 3.16, 4 Cd 3.16
Cd 0.0000 0.0000 0.5000  4 Na 3.16, 4 Cd 3.16
Cd 0.0000 0.5000 0.2499  2 In 3.16, 4 Na 3.16, 2 Cd 3.16
Cd 0.5000 0.0000 0.7501  2 In 3.16, 4 Na 3.16, 2 Cd 3.16
In 0.5000 0.5000 0.0000  4 Cd 3.16, 4 Na 3.17

Output
- VASP energy: -1.46 eV per atom
- SG: P-4m2 (115)

---

Record 12
An optimized crystal structure of Na2CdIn. Source: OQMD, functional GGA-PBE.

abc: 5.1591 5.1820 7.3501
angles: 90.00 90.00 90.00
Closest atoms and distances in Å follow each position.
Atoms (fractional coordinates):
Na 0.2500 0.0000 0.1221  4 Na 3.14-3.18, 2 Cd 3.16, 2 In 3.18
Na 0.2500 0.5000 0.3723  2 Cd 3.16, 4 Na 3.18-3.19, 2 In 3.19
Na 0.7500 0.0000 0.8779  4 Na 3.14-3.18, 2 Cd 3.16, 2 In 3.18
Na 0.7500 0.5000 0.6277  2 Cd 3.16, 4 Na 3.18-3.19, 2 In 3.19
Cd 0.2500 0.5000 0.8758  4 Na 3.16, 2 Cd 3.16, 2 In 3.18
Cd 0.7500 0.5000 0.1242  4 Na 3.16, 2 Cd 3.16, 2 In 3.18
In 0.2500 0.0000 0.6253  2 In 3.17, 4 Na 3.18-3.19, 2 Cd 3.18
In 0.7500 0.0000 0.3747  2 In 3.17, 4 Na 3.18-3.19, 2 Cd 3.18

Output
- VASP energy: -1.70 eV per atom
- SG: Pmma (51)

---

Record 13
An optimized crystal structure of Na8Cd2In. Source: OQMD, functional GGA-PBE.

abc: 5.3761 5.3761 12.3169
angles: 102.59 102.59 59.90
Closest atoms and distances in Å follow each position.
Atoms (fractional coordinates):
Na 0.0908 0.0908 0.2724  4 Na 3.24-3.30, 1 In 3.25, 3 Cd 3.32-3.33
Na 0.1814 0.1814 0.5439  5 Na 3.24-3.31, 3 Cd 3.26
Na 0.2740 0.2740 0.8214  8 Na 3.25-3.31
Na 0.3647 0.3647 0.0943  4 Na 3.25-3.26, 3 In 3.30, 1 Cd 3.31
Na 0.6353 0.6353 0.9057  4 Na 3.25-3.26, 3 In 3.30, 1 Cd 3.31
Na 0.7260 0.7260 0.1786  8 Na 3.25-3.31
Na 0.8186 0.8186 0.4561  5 Na 3.24-3.31, 3 Cd 3.26
Na 0.9092 0.9092 0.7276  4 Na 3.24-3.30, 1 In 3.25, 3 Cd 3.32-3.33
Cd 0.4573 0.4573 0.3723  1 Cd 3.04, 7 Na 3.26-3.33
Cd 0.5427 0.5427 0.6277  1 Cd 3.04, 7 Na 3.26-3.33
In 0.0000 0.0000 0.0000  8 Na 3.25-3.30

Output
- VASP energy: -1.41 eV per atom
- SG: C2/m (12)

---

Record 14
An optimized crystal structure of Na4Cd2InPb. Source: OQMD, functional GGA-PBE.

abc: 5.1920 5.1920 7.3680
angles: 90.00 90.00 90.00
Closest atoms and distances in Å follow each position.
Atoms (fractional coordinates):
Na 0.0000 0.0000 0.0000  4 Cd 3.15, 4 Na 3.17
Na 0.0000 0.5000 0.2480  2 In 3.17, 4 Na 3.17-3.19, 2 Pb 3.19
Na 0.5000 0.0000 0.7520  2 In 3.17, 4 Na 3.17-3.19, 2 Pb 3.19
Na 0.5000 0.5000 0.5000  4 Na 3.19, 4 Cd 3.22
Cd 0.0000 0.5000 0.7590  2 In 3.15, 4 Na 3.15-3.22, 2 Pb 3.22
Cd 0.5000 0.0000 0.2410  2 In 3.15, 4 Na 3.15-3.22, 2 Pb 3.22
In 0.5000 0.5000 0.0000  4 Cd 3.15, 4 Na 3.17
Pb 0.0000 0.0000 0.5000  4 Na 3.19, 4 Cd 3.22

Output
- VASP energy: -1.84 eV per atom
- SG: P-4m2 (115)

---

Record 15
An optimized crystal structure of Na4CdInPd2. Source: OQMD, functional GGA-PBE.

abc: 4.8856 4.8856 6.8986
angles: 90.00 90.00 90.00
Closest atoms and distances in Å follow each position.
Atoms (fractional coordinates):
Na 0.0000 0.0000 0.0000  4 Na 2.97, 4 Pd 3.02
Na 0.0000 0.5000 0.2448  2 Cd 2.97, 4 Na 2.97-3.01, 2 In 3.01
Na 0.5000 0.0000 0.7552  2 Cd 2.97, 4 Na 2.97-3.01, 2 In 3.01
Na 0.5000 0.5000 0.5000  4 Pd 2.96, 4 Na 3.01
Cd 0.5000 0.5000 0.0000  4 Na 2.97, 4 Pd 3.02
In 0.0000 0.0000 0.5000  4 Pd 2.96, 4 Na 3.01
Pd 0.0000 0.5000 0.7421  2 In 2.96, 4 Na 2.96-3.02, 2 Cd 3.02
Pd 0.5000 0.0000 0.2579  2 In 2.96, 4 Na 2.96-3.02, 2 Cd 3.02

Output
- VASP energy: -2.58 eV per atom
- SG: P-4m2 (115)

---

Record 16
An optimized crystal structure of Na2ZnCdIn2Pd2. Source: OQMD, functional GGA-PBE.

abc: 4.7467 4.7467 6.7256
angles: 90.00 90.00 90.00
Closest atoms and distances in Å follow each position.
Atoms (fractional coordinates):
Na 0.0000 0.5000 0.2425  4 In 2.88-2.94, 2 Zn 2.88, 2 Cd 2.94, 1 Pd 3.22
Na 0.5000 0.0000 0.7575  2 Zn 2.88, 4 In 2.88-2.94, 2 Cd 2.94, 1 Pd 3.22
Zn 0.5000 0.5000 0.0000  4 Pd 2.86, 4 Na 2.88
Cd 0.0000 0.0000 0.5000  4 Na 2.94, 4 Pd 2.96
In 0.0000 0.0000 0.0000  4 Pd 2.86, 4 Na 2.88
In 0.5000 0.5000 0.5000  4 Na 2.94, 4 Pd 2.96
Pd 0.0000 0.5000 0.7637  2 Zn 2.86, 4 In 2.86-2.96, 2 Cd 2.96
Pd 0.5000 0.0000 0.2363  2 Zn 2.86, 4 In 2.86-2.96, 2 Cd 2.96

Output
- VASP energy: -2.81 eV per atom
- SG: P-4m2 (115)

---

Record 17
An optimized crystal structure of Na4CdInPt2. Source: OQMD, functional GGA-PBE.

abc: 4.8410 4.8410 6.8450
angles: 90.00 90.00 90.00
Closest atoms and distances in Å follow each position.
Atoms (fractional coordinates):
Na 0.0000 0.0000 0.0000  4 Pt 2.93, 4 Na 2.99
Na 0.0000 0.5000 0.7447  2 Cd 2.94, 4 Na 2.94-2.99, 2 In 2.99
Na 0.5000 0.0000 0.2553  2 Cd 2.94, 4 Na 2.94-2.99, 2 In 2.99
Na 0.5000 0.5000 0.5000  4 Na 2.94, 4 Pt 3.00
Cd 0.0000 0.0000 0.5000  4 Na 2.94, 4 Pt 3.00
In 0.5000 0.5000 0.0000  4 Pt 2.93, 4 Na 2.99
Pt 0.0000 0.5000 0.2411  2 In 2.93, 4 Na 2.93-3.00, 2 Cd 3.00
Pt 0.5000 0.0000 0.7589  2 In 2.93, 4 Na 2.93-3.00, 2 Cd 3.00

Output
- VASP energy: -2.85 eV per atom
- SG: P-4m2 (115)

---

Record 18
An optimized crystal structure of Na2ScCdIn2Pt2. Source: OQMD, functional GGA-PBE.

abc: 4.7514 4.7514 6.8719
angles: 90.00 90.00 90.00
Closest atoms and distances in Å follow each position.
Atoms (fractional coordinates):
Na 0.0000 0.5000 0.2386  2 Cd 2.89, 4 In 2.89-2.98, 2 Sc 2.98
Na 0.5000 0.0000 0.7614  2 Cd 2.89, 4 In 2.89-2.98, 2 Sc 2.98
Sc 0.0000 0.0000 0.5000  4 Pt 2.85, 4 Na 2.98
Cd 0.5000 0.5000 0.0000  4 Na 2.89, 4 Pt 3.01
In 0.0000 0.0000 0.0000  4 Na 2.89, 4 Pt 3.01
In 0.5000 0.5000 0.5000  4 Pt 2.85, 4 Na 2.98
Pt 0.0000 0.5000 0.7302  4 In 2.85-3.01, 2 Sc 2.85, 2 Cd 3.01
Pt 0.5000 0.0000 0.2698  4 In 2.85-3.01, 2 Sc 2.85, 2 Cd 3.01

Output
- VASP energy: -3.85 eV per atom
- SG: P-4m2 (115)

---

Record 19
An optimized crystal structure of Na4Cd2InSn. Source: OQMD, functional GGA-PBE.

abc: 5.1544 5.1544 7.3606
angles: 90.00 90.00 90.00
Closest atoms and distances in Å follow each position.
Atoms (fractional coordinates):
Na 0.0000 0.0000 0.0000  4 Na 3.17, 4 Cd 3.18
Na 0.0000 0.5000 0.2498  2 Sn 3.17, 4 Na 3.17, 2 In 3.17
Na 0.5000 0.0000 0.7502  2 Sn 3.17, 4 Na 3.17, 2 In 3.17
Na 0.5000 0.5000 0.5000  4 Cd 3.15, 4 Na 3.17
Cd 0.0000 0.5000 0.7466  4 Na 3.15-3.18, 2 In 3.15, 2 Sn 3.18
Cd 0.5000 0.0000 0.2534  4 Na 3.15-3.18, 2 In 3.15, 2 Sn 3.18
In 0.0000 0.0000 0.5000  4 Cd 3.15, 4 Na 3.17
Sn 0.5000 0.5000 0.0000  4 Na 3.17, 4 Cd 3.18

Output
- VASP energy: -1.89 eV per atom
- SG: P-4m2 (115)

---

Record 20
An optimized crystal structure of Na4TlCd2In. Source: OQMD, functional GGA-PBE.

abc: 5.2144 5.2144 7.3632
angles: 90.00 90.00 90.00
Closest atoms and distances in Å follow each position.
Atoms (fractional coordinates):
Na 0.0000 0.0000 0.0000  4 Cd 3.17, 4 Na 3.19
Na 0.0000 0.5000 0.2501  2 Tl 3.19, 4 Na 3.19, 2 In 3.19
Na 0.5000 0.0000 0.7499  2 Tl 3.19, 4 Na 3.19, 2 In 3.19
Na 0.5000 0.5000 0.5000  4 Na 3.19, 4 Cd 3.21
Tl 0.0000 0.0000 0.5000  4 Na 3.19, 4 Cd 3.21
Cd 0.0000 0.5000 0.7547  2 In 3.17, 4 Na 3.17-3.21, 2 Tl 3.21
Cd 0.5000 0.0000 0.2453  2 In 3.17, 4 Na 3.17-3.21, 2 Tl 3.21
In 0.5000 0.5000 0.0000  4 Cd 3.17, 4 Na 3.19

Output
- VASP energy: -1.65 eV per atom
- SG: P-4m2 (115)